## Y2Ho4Tm3 (PBE)

Data for Y2Ho4Tm3 after structural relaxation.

Geometry as POSCAR:
```
Y2Ho4Tm3
1.0
-4.9785 -2.7189 1.5535
1.1654 -8.5477 7.0777
-3.2265 1.4936 10.5770
Tm Ho Y
6 8 4
direct
0.2500 0.6556 0.3444
0.2532 0.3188 0.0129
0.7532 0.0129 0.3188
0.2468 0.9871 0.6812
0.7468 0.6812 0.9871
0.7500 0.3444 0.6556
0.0857 0.1603 0.3762
0.5857 0.3762 0.1603
0.9143 0.8397 0.6238
0.4219 0.9565 0.1697
0.5781 0.0435 0.8303
0.9219 0.1697 0.9565
0.4143 0.6238 0.8397
0.0781 0.8303 0.0435
0.5767 0.7105 0.4974
0.0767 0.4974 0.7105
0.4233 0.2895 0.5026
0.9233 0.5026 0.2895
```

Properties
ΔH_f (0 K) = 0.101 eV per atom
total magnetic moment = 0.0 μB per cell
DFT total energy = -4.8610 eV/atom